Record 1
DFT (PBE) results for an optimized crystal structure of TaBeSN2.

Cell lengths 3.9171, 3.9171, 5.2213 Å; angles 90.00, 90.00, 90.00 degrees
Space group P4/mmm (No. 123)
Unique sites:
Ta  0.0000  0.0000  0.0000 (multiplicity 1)
Be  0.5000  0.5000  0.5000 (multiplicity 1)
S  0.0000  0.0000  0.5000 (multiplicity 1)
N  0.0000  0.5000  0.0000 (multiplicity 2)

Output
Excess energy over the best structure of this formula in the dataset = 0.0 meV/atom
Uncorrected formation energy = 444 meV/atom
DFT total energy = -34.14 eV for the cell shown

=====

Record 2
DFT (PBE) results for an optimized crystal structure of CaYIr.

Cell lengths 7.1040, 8.4131, 5.8081 Å; angles 90.00, 100.61, 90.00 degrees
Space group C2/m (No. 12)
Unique sites:
Ca  0.2264  0.0000  0.4278 (multiplicity 4)
Y  0.0000  0.2961  0.0000 (multiplicity 4)
Ir  0.1767  0.0000  0.9114 (multiplicity 4)

Output
Excess energy over the best structure of this formula in the dataset = 20.8 meV/atom
DFT total energy = -75.30 eV for the cell shown

=====

Record 3
DFT (PBE) results for an optimized crystal structure of CeHfSi2.

Cell lengths 3.9545, 3.9545, 19.7118 Å; angles 90.00, 90.00, 120.00 degrees
Space group R-3m (No. 166, hexagonal axes)
Unique sites:
Ce  0.0000  0.0000  0.0000 (multiplicity 3)
Hf  0.0000  0.0000  0.5000 (multiplicity 3)
Si  0.0000  0.0000  0.2417 (multiplicity 6)

Output
Uncorrected formation energy = -519 meV/atom
DFT total energy = -86.42 eV for the cell shown

=====

Record 4
DFT (PBE) results for an optimized crystal structure of ScVAsBr2.

Cell lengths 4.9569, 4.9569, 5.0834 Å; angles 90.00, 90.00, 90.00 degrees
Space group P4/mmm (No. 123)
Unique sites:
Sc  0.0000  0.0000  0.0000 (multiplicity 1)
V  0.5000  0.5000  0.5000 (multiplicity 1)
As  0.5000  0.5000  0.0000 (multiplicity 1)
Br  0.0000  0.5000  0.5000 (multiplicity 2)

Output
Excess energy over the best structure of this formula in the dataset = 0.0 meV/atom
Uncorrected formation energy = -129 meV/atom
DFT total energy = -24.09 eV for the cell shown

=====

Look up the DFT total energy of the fourth one.
-24.09 eV for the cell shown

=====

The lowest DFT total energy belongs to which entry?
CeHfSi2

=====

Among the records above, which one has the highest DFT total energy?
ScVAsBr2